Entry 1:
First-principles (PBEsol) data for an optimized crystal structure of Rb3TlF6, as listed in Alexandria.

Space-group type = I4/mmm, No. 139
Formation energy without anion corrections = -2.367 eV/atom
Total energy = -40.9 eV for the cell shown

The structure in CIF format:
```
data_Rb3TlF6
_chemical_formula_sum 'Rb3 Tl1 F6'
_cell_length_a 6.831
_cell_length_b 6.831
_cell_length_c 6.831
_cell_angle_alpha 90.03
_cell_angle_beta 119.98
_cell_angle_gamma 119.98
_space_group_name_H-M_alt 'P 1'
_space_group_IT_number 1
loop_
_space_group_symop_operation_xyz
'x,y,z'
loop_
_atom_site_label
_atom_site_type_symbol
_atom_site_fract_x
_atom_site_fract_y
_atom_site_fract_z
Rb1 Rb 0.500 0.750 0.250
Rb2 Rb 0.500 0.250 0.750
Rb3 Rb 0.000 0.500 0.500
F1 F 0.313 0.000 0.313
F2 F 0.687 0.687 0.000
F3 F 0.313 0.313 0.000
F4 F 0.687 0.000 0.687
F5 F 0.000 0.233 0.233
F6 F 0.000 0.767 0.767
Tl1 Tl 0.000 0.000 0.000
```

---

Entry 2:
First-principles (PBEsol) data for an optimized crystal structure of Rb2TlF2, as listed in Alexandria.

Space-group type = I4/mmm, No. 139
Formation energy without anion corrections = -1.703 eV/atom
Total energy = -17.1 eV for the cell shown

The structure in CIF format:
```
data_Rb2TlF2
_chemical_formula_sum 'Rb2 Tl1 F2'
_cell_length_a 4.846
_cell_length_b 4.846
_cell_length_c 7.525
_cell_angle_alpha 108.79
_cell_angle_beta 108.79
_cell_angle_gamma 90.00
_space_group_name_H-M_alt 'P 1'
_space_group_IT_number 1
loop_
_space_group_symop_operation_xyz
'x,y,z'
loop_
_atom_site_label
_atom_site_type_symbol
_atom_site_fract_x
_atom_site_fract_y
_atom_site_fract_z
Rb1 Rb 0.326 0.326 0.652
Rb2 Rb 0.674 0.674 0.348
F1 F 0.250 0.750 0.500
F2 F 0.750 0.250 0.500
Tl1 Tl 0.000 0.000 0.000
```

---

Entry 3:
First-principles (PBEsol) data for an optimized crystal structure of Rb3TlF6, as listed in Alexandria.

Space-group type = Fm-3m, No. 225
Formation energy without anion corrections = -2.404 eV/atom
Total energy = -41.3 eV for the cell shown

The structure in CIF format:
```
data_Rb3TlF6
_chemical_formula_sum 'Rb3 Tl1 F6'
_cell_length_a 6.710
_cell_length_b 6.710
_cell_length_c 6.710
_cell_angle_alpha 60.00
_cell_angle_beta 60.00
_cell_angle_gamma 60.00
_space_group_name_H-M_alt 'P 1'
_space_group_IT_number 1
loop_
_space_group_symop_operation_xyz
'x,y,z'
loop_
_atom_site_label
_atom_site_type_symbol
_atom_site_fract_x
_atom_site_fract_y
_atom_site_fract_z
F1 F 0.228 0.228 0.772
F2 F 0.772 0.228 0.772
F3 F 0.228 0.772 0.228
F4 F 0.772 0.772 0.228
F5 F 0.772 0.228 0.228
F6 F 0.228 0.772 0.772
Rb1 Rb 0.500 0.500 0.500
Rb2 Rb 0.750 0.750 0.750
Rb3 Rb 0.250 0.250 0.250
Tl1 Tl 0.000 0.000 0.000
```

---

Entry 4:
First-principles (PBEsol) data for an optimized crystal structure of RbTl3F, as listed in Alexandria.

Space-group type = Pm-3m, No. 221
Formation energy without anion corrections = -0.559 eV/atom
Total energy = -13.6 eV for the cell shown

The structure in CIF format:
```
data_RbTl3F
_chemical_formula_sum 'Rb1 Tl3 F1'
_cell_length_a 5.346
_cell_length_b 5.346
_cell_length_c 5.346
_cell_angle_alpha 90.00
_cell_angle_beta 90.00
_cell_angle_gamma 90.00
_space_group_name_H-M_alt 'P 1'
_space_group_IT_number 1
loop_
_space_group_symop_operation_xyz
'x,y,z'
loop_
_atom_site_label
_atom_site_type_symbol
_atom_site_fract_x
_atom_site_fract_y
_atom_site_fract_z
Tl1 Tl 0.000 0.500 0.000
Tl2 Tl 0.000 0.000 0.500
Tl3 Tl 0.500 0.000 0.000
Rb1 Rb 0.500 0.500 0.500
F1 F 0.000 0.000 0.000
```

---

Entry 5:
First-principles (PBEsol) data for an optimized crystal structure of RbTlF3, as listed in Alexandria.

Space-group type = Fm-3m, No. 225
Formation energy without anion corrections = -2.201 eV/atom
Total energy = -40.9 eV for the cell shown

The structure in CIF format:
```
data_RbTlF3
_chemical_formula_sum 'Rb2 Tl2 F6'
_cell_length_a 6.665
_cell_length_b 6.665
_cell_length_c 6.665
_cell_angle_alpha 60.00
_cell_angle_beta 60.00
_cell_angle_gamma 60.00
_space_group_name_H-M_alt 'P 1'
_space_group_IT_number 1
loop_
_space_group_symop_operation_xyz
'x,y,z'
loop_
_atom_site_label
_atom_site_type_symbol
_atom_site_fract_x
_atom_site_fract_y
_atom_site_fract_z
F1 F 0.269 0.731 0.731
F2 F 0.731 0.731 0.269
F3 F 0.269 0.269 0.731
F4 F 0.269 0.731 0.269
F5 F 0.731 0.269 0.269
F6 F 0.731 0.269 0.731
Tl1 Tl 0.500 0.500 0.500
Tl2 Tl 0.000 0.000 0.000
Rb1 Rb 0.250 0.250 0.250
Rb2 Rb 0.750 0.750 0.750
```

---

Entry 6:
First-principles (PBEsol) data for an optimized crystal structure of RbYF2, as listed in Alexandria.

Space-group type = I-42d, No. 122
Formation energy without anion corrections = -2.345 eV/atom
Total energy = -42.2 eV for the cell shown

The structure in CIF format:
```
data_RbYF2
_chemical_formula_sum 'Rb2 Y2 F4'
_cell_length_a 5.722
_cell_length_b 5.722
_cell_length_c 7.769
_cell_angle_alpha 111.61
_cell_angle_beta 111.61
_cell_angle_gamma 90.00
_space_group_name_H-M_alt 'P 1'
_space_group_IT_number 1
loop_
_space_group_symop_operation_xyz
'x,y,z'
loop_
_atom_site_label
_atom_site_type_symbol
_atom_site_fract_x
_atom_site_fract_y
_atom_site_fract_z
F1 F 0.093 0.375 0.250
F2 F 0.125 0.907 0.750
F3 F 0.625 0.843 0.750
F4 F 0.157 0.875 0.250
Y1 Y 0.000 0.000 0.000
Y2 Y 0.250 0.750 0.500
Rb1 Rb 0.500 0.500 0.000
Rb2 Rb 0.750 0.250 0.500
```

---

Entry 7:
First-principles (PBEsol) data for an optimized crystal structure of Rb3YF6, as listed in Alexandria.

Space-group type = Fm-3m, No. 225
Formation energy without anion corrections = -3.278 eV/atom
Total energy = -54.2 eV for the cell shown

The structure in CIF format:
```
data_Rb3YF6
_chemical_formula_sum 'Rb3 Y1 F6'
_cell_length_a 6.712
_cell_length_b 6.712
_cell_length_c 6.712
_cell_angle_alpha 60.00
_cell_angle_beta 60.00
_cell_angle_gamma 60.00
_space_group_name_H-M_alt 'P 1'
_space_group_IT_number 1
loop_
_space_group_symop_operation_xyz
'x,y,z'
loop_
_atom_site_label
_atom_site_type_symbol
_atom_site_fract_x
_atom_site_fract_y
_atom_site_fract_z
F1 F 0.774 0.774 0.226
F2 F 0.226 0.226 0.774
F3 F 0.774 0.226 0.226
F4 F 0.774 0.226 0.774
F5 F 0.226 0.774 0.774
F6 F 0.226 0.774 0.226
Rb1 Rb 0.750 0.750 0.750
Rb2 Rb 0.250 0.250 0.250
Rb3 Rb 0.500 0.500 0.500
Y1 Y 0.000 0.000 0.000
```

---

Entry 8:
First-principles (PBEsol) data for an optimized crystal structure of Rb3YF6, as listed in Alexandria.

Space-group type = I4/mmm, No. 139
Formation energy without anion corrections = -3.241 eV/atom
Total energy = -53.9 eV for the cell shown

The structure in CIF format:
```
data_Rb3YF6
_chemical_formula_sum 'Rb3 Y1 F6'
_cell_length_a 6.856
_cell_length_b 6.856
_cell_length_c 6.856
_cell_angle_alpha 87.80
_cell_angle_beta 61.26
_cell_angle_gamma 118.74
_space_group_name_H-M_alt 'P 1'
_space_group_IT_number 1
loop_
_space_group_symop_operation_xyz
'x,y,z'
loop_
_atom_site_label
_atom_site_type_symbol
_atom_site_fract_x
_atom_site_fract_y
_atom_site_fract_z
F1 F 0.000 0.770 0.230
F2 F 0.000 0.230 0.770
F3 F 0.307 0.000 0.693
F4 F 0.693 0.693 0.000
F5 F 0.693 0.000 0.307
F6 F 0.307 0.307 0.000
Rb1 Rb 0.000 0.500 0.500
Rb2 Rb 0.500 0.250 0.250
Rb3 Rb 0.500 0.750 0.750
Y1 Y 0.000 0.000 0.000
```

---

Entry 9:
First-principles (PBEsol) data for an optimized crystal structure of Rb2ZnF4, as listed in Alexandria.

Space-group type = I4/mmm, No. 139
Formation energy without anion corrections = -2.613 eV/atom
Total energy = -29.6 eV for the cell shown

The structure in CIF format:
```
data_Rb2ZnF4
_chemical_formula_sum 'Rb2 Zn1 F4'
_cell_length_a 4.131
_cell_length_b 4.131
_cell_length_c 7.396
_cell_angle_alpha 106.22
_cell_angle_beta 106.22
_cell_angle_gamma 90.00
_space_group_name_H-M_alt 'P 1'
_space_group_IT_number 1
loop_
_space_group_symop_operation_xyz
'x,y,z'
loop_
_atom_site_label
_atom_site_type_symbol
_atom_site_fract_x
_atom_site_fract_y
_atom_site_fract_z
F1 F 0.852 0.852 0.703
F2 F 0.000 0.500 0.000
F3 F 0.500 0.000 0.000
F4 F 0.148 0.148 0.297
Rb1 Rb 0.354 0.354 0.708
Rb2 Rb 0.646 0.646 0.292
Zn1 Zn 0.000 0.000 0.000
```

---

Entry 10:
First-principles (PBEsol) data for an optimized crystal structure of RbZnF3, as listed in Alexandria.

Space-group type = P6_3/mmc, No. 194
Formation energy without anion corrections = -2.551 eV/atom
Total energy = -126.9 eV for the cell shown

The structure in CIF format:
```
data_RbZnF3
_chemical_formula_sum 'Rb6 Zn6 F18'
_cell_length_a 5.885
_cell_length_b 5.885
_cell_length_c 14.427
_cell_angle_alpha 90.00
_cell_angle_beta 90.00
_cell_angle_gamma 120.00
_space_group_name_H-M_alt 'P 1'
_space_group_IT_number 1
loop_
_space_group_symop_operation_xyz
'x,y,z'
loop_
_atom_site_label
_atom_site_type_symbol
_atom_site_fract_x
_atom_site_fract_y
_atom_site_fract_z
Zn1 Zn 0.667 0.333 0.346
Zn2 Zn 0.000 0.000 0.000
Zn3 Zn 0.000 0.000 0.500
Zn4 Zn 0.333 0.667 0.846
Zn5 Zn 0.667 0.333 0.154
Zn6 Zn 0.333 0.667 0.654
Rb1 Rb 0.333 0.667 0.096
Rb2 Rb 0.000 0.000 0.250
Rb3 Rb 0.667 0.333 0.904
Rb4 Rb 0.000 0.000 0.750
Rb5 Rb 0.333 0.667 0.404
Rb6 Rb 0.667 0.333 0.596
F1 F 0.484 0.516 0.750
F2 F 0.331 0.165 0.080
F3 F 0.835 0.669 0.420
F4 F 0.969 0.484 0.250
F5 F 0.165 0.331 0.580
F6 F 0.835 0.165 0.080
F7 F 0.165 0.835 0.580
F8 F 0.516 0.484 0.250
F9 F 0.669 0.835 0.920
F10 F 0.031 0.516 0.750
F11 F 0.165 0.331 0.920
F12 F 0.516 0.031 0.250
F13 F 0.165 0.835 0.920
F14 F 0.835 0.669 0.080
F15 F 0.484 0.969 0.750
F16 F 0.331 0.165 0.420
F17 F 0.669 0.835 0.580
F18 F 0.835 0.165 0.420
```

---

Entry 11:
First-principles (PBEsol) data for an optimized crystal structure of RbZnF2, as listed in Alexandria.

Space-group type = R-3m, No. 166
Formation energy without anion corrections = -1.555 eV/atom
Total energy = -12.7 eV for the cell shown

The structure in CIF format:
```
data_RbZnF2
_chemical_formula_sum 'Rb1 Zn1 F2'
_cell_length_a 3.579
_cell_length_b 3.579
_cell_length_c 7.355
_cell_angle_alpha 75.92
_cell_angle_beta 75.92
_cell_angle_gamma 60.00
_space_group_name_H-M_alt 'P 1'
_space_group_IT_number 1
loop_
_space_group_symop_operation_xyz
'x,y,z'
loop_
_atom_site_label
_atom_site_type_symbol
_atom_site_fract_x
_atom_site_fract_y
_atom_site_fract_z
Zn1 Zn 0.500 0.500 0.500
F1 F 0.123 0.123 0.631
F2 F 0.877 0.877 0.369
Rb1 Rb 0.000 0.000 0.000
```

---

Entry 12:
First-principles (PBEsol) data for an optimized crystal structure of Rb3ZrF, as listed in Alexandria.

Space-group type = Pm-3m, No. 221
Formation energy without anion corrections = 0.534 eV/atom
Total energy = -11.4 eV for the cell shown

The structure in CIF format:
```
data_Rb3ZrF
_chemical_formula_sum 'Rb3 Zr1 F1'
_cell_length_a 6.787
_cell_length_b 6.787
_cell_length_c 6.787
_cell_angle_alpha 90.00
_cell_angle_beta 90.00
_cell_angle_gamma 90.00
_space_group_name_H-M_alt 'P 1'
_space_group_IT_number 1
loop_
_space_group_symop_operation_xyz
'x,y,z'
loop_
_atom_site_label
_atom_site_type_symbol
_atom_site_fract_x
_atom_site_fract_y
_atom_site_fract_z
Rb1 Rb 0.500 0.000 0.000
Rb2 Rb 0.000 0.500 0.000
Rb3 Rb 0.000 0.000 0.500
F1 F 0.500 0.500 0.500
Zr1 Zr 0.000 0.000 0.000
```

---

| no. | DOS at the Fermi energy (states/eV/cell) |
| --- | --- |
| 1 | 0.000 |
| 2 | 1.831 |
| 3 | 0.000 |
| 4 | 2.230 |
| 5 | 0.000 |
| 6 | 4.836 |
| 7 | 0.000 |
| 8 | 0.000 |
| 9 | 0.000 |
| 10 | 0.000 |
| 11 | 0.866 |
| 12 | 8.560 |